This record from OQMD via LeMat-Bulk describes a relaxed structure of Sr2HfAg. The functional is PBE.

Unit cell a=7.7872 b=7.7872 c=7.7872 alpha=90.00 beta=90.00 gamma=90.00
Closest atoms and distances in Å follow each position.
Space group F-43m (No. 216)
Inequivalent atoms, fractional coordinates:
Sr 0.0000 0.0000 0.0000 [4 per cell]  4 Hf 3.37, 4 Sr 3.37
Sr 0.2500 0.2500 0.2500 [4 per cell]  4 Sr 3.37, 4 Ag 3.37
Hf 0.2500 0.2500 0.7500 [4 per cell]  4 Sr 3.37, 4 Ag 3.37
Ag 0.0000 0.0000 0.5000 [4 per cell]  4 Hf 3.37, 4 Sr 3.37

**Calculated total energy**: -3.44 eV per atom
**Total magnetic moment**: 3.88 μB/cell
**Crystal system**: cubic

=====

This record from OQMD via LeMat-Bulk describes a relaxed structure of Hf2Zr4Bi3C3. The functional is PBE.

Unit cell a=10.3923 b=5.9962 c=14.8763 alpha=90.00 beta=103.46 gamma=90.00
Closest atoms and distances in Å follow each position.
Space group C2/c (No. 15)
Inequivalent atoms, fractional coordinates:
Hf 0.0576 0.0844 0.4196 [8 per cell]  3 C 2.29-2.30
Zr 0.1112 0.4186 0.5833 [8 per cell]  3 C 2.34-2.35
Zr 0.2212 0.4153 0.9167 [8 per cell]  3 C 2.34-2.35
Bi 0.0000 0.4146 0.2500 [4 per cell]  4 Zr 3.13, 2 Hf 3.15, 6 Bi 3.43-3.48
Bi 0.1647 0.0801 0.7496 [8 per cell]  4 Zr 3.14-3.15, 2 Hf 3.15, 6 Bi 3.43-3.48
C 0.0813 0.2443 0.0000 [8 per cell]  2 Hf 2.29, 4 Zr 2.34-2.35
C 0.2500 0.2500 0.5000 [4 per cell]  2 Hf 2.30, 4 Zr 2.34

**Calculated total energy**: -8.46 eV per atom
**Total magnetic moment**: 0.01 μB/cell
**Crystal system**: monoclinic

=====

This record from OQMD via LeMat-Bulk describes a relaxed structure of NaTlNiGe. The functional is PBE.

Unit cell a=6.7963 b=6.7963 c=6.7963 alpha=90.00 beta=90.00 gamma=90.00
Closest atoms and distances in Å follow each position.
Space group F-43m (No. 216)
Inequivalent atoms, fractional coordinates:
Na 0.0000 0.0000 0.0000 [4 per cell]  4 Ge 2.94, 4 Ni 2.94
Tl 0.0000 0.0000 0.5000 [4 per cell]  4 Ge 2.94, 4 Ni 2.94
Ni 0.2500 0.2500 0.2500 [4 per cell]  4 Tl 2.94, 4 Na 2.94
Ge 0.2500 0.2500 0.7500 [4 per cell]  4 Tl 2.94, 4 Na 2.94

**Energy relative to the lowest polymorph listed for this composition**: 16.63 kJ per mole of atoms
**Total magnetic moment**: 0.00 μB/cell
**Crystal system**: cubic